The following is a PBE calculation of crystalline Cr4NiRh at its relaxed geometry, from Alexandria via LeMat-Bulk.

Summary:
Density = 8.42 g/cm³
Calculated formation energy = 0.10 eV per atom
DFT total energy = -8.502 eV/atom

Lattice parameters (Å, degrees): 6.631 6.631 6.631 90.00 90.00 90.00
Space group F-43m (No. 216)
Symmetry-distinct sites (fractional):
Cr 0.123 0.123 0.123 x16
Ni 0.250 0.250 0.750 x4
Rh 0.000 0.000 0.500 x4



The following is a PBE calculation of crystalline CrNi3Rh2 at its relaxed geometry, from Alexandria via LeMat-Bulk.

Summary:
Density = 9.87 g/cm³
Calculated formation energy = 0.01 eV per atom
DFT total energy = -6.936 eV/atom
Polymorph energy (0 for the lowest one) = 0.000 eV/atom

Lattice parameters (Å, degrees): 9.441 2.641 12.118 90.00 104.89 90.00
Space group C2/m (No. 12)
Symmetry-distinct sites (fractional):
Cr 0.139 0.000 0.264 x4
Ni 0.150 0.000 0.764 x4
Ni 0.197 0.000 0.570 x4
Ni 0.199 0.000 0.073 x4
Rh 0.022 0.500 0.896 x4
Rh 0.026 0.500 0.396 x4



The following is a PBE calculation of crystalline Cr3NiRh at its relaxed geometry, from Alexandria via LeMat-Bulk.

Summary:
Density = 5.30 g/cm³
Calculated formation energy = 1.49 eV per atom
DFT total energy = -6.908 eV/atom
Polymorph energy (0 for the lowest one) = 0.270 eV/atom

Lattice parameters (Å, degrees): 4.634 4.634 4.634 90.00 90.00 90.00
Space group Pm-3m (No. 221)
Symmetry-distinct sites (fractional):
Cr 0.000 0.000 0.500 x3
Ni 0.500 0.500 0.500 x1
Rh 0.000 0.000 0.000 x1



The following is a PBE calculation of crystalline CrNi5Rh6 at its relaxed geometry, from Alexandria via LeMat-Bulk.

Summary:
Density = 10.45 g/cm³
Calculated formation energy = 0.00 eV per atom
DFT total energy = -6.886 eV/atom
Polymorph energy (0 for the lowest one) = 0.000 eV/atom

Lattice parameters (Å, degrees): 3.756 11.303 7.205 90.00 90.00 90.00
Space group Cmmm (No. 65)
Symmetry-distinct sites (fractional):
Cr 0.000 0.000 0.000 x2
Ni 0.000 0.000 0.500 x2
Ni 0.000 0.336 0.000 x4
Ni 0.000 0.336 0.500 x4
Rh 0.000 0.167 0.248 x8
Rh 0.000 0.500 0.245 x4



The following is a PBE calculation of crystalline Cr2Ni3Rh4 at its relaxed geometry, from Alexandria via LeMat-Bulk.

Summary:
Density = 10.00 g/cm³
Calculated formation energy = -0.04 eV per atom
DFT total energy = -7.375 eV/atom
Polymorph energy (0 for the lowest one) = 0.000 eV/atom

Lattice parameters (Å, degrees): 8.203 3.726 7.848 90.00 106.84 90.00
Space group C2/m (No. 12)
Symmetry-distinct sites (fractional):
Cr 0.168 0.000 0.221 x4
Ni 0.000 0.500 0.000 x2
Ni 0.168 0.000 0.552 x4
Rh 0.006 0.500 0.337 x4
Rh 0.164 0.000 0.888 x4



The following is a PBE calculation of crystalline CrNi5Rh2 at its relaxed geometry, from Alexandria via LeMat-Bulk.

Summary:
Density = 9.60 g/cm³
Calculated formation energy = -0.01 eV per atom
DFT total energy = -6.665 eV/atom
Polymorph energy (0 for the lowest one) = 0.000 eV/atom

Lattice parameters (Å, degrees): 5.150 10.301 3.595 90.00 90.00 90.00
Space group Pbam (No. 55)
Symmetry-distinct sites (fractional):
Cr 0.000 0.000 0.000 x2
Ni 0.000 0.500 0.000 x2
Ni 0.009 0.247 0.000 x4
Ni 0.243 0.627 0.500 x4
Rh 0.242 0.878 0.500 x4



The following is a PBE calculation of crystalline CrNi2Rh2 at its relaxed geometry, from Alexandria via LeMat-Bulk.

Summary:
Density = 9.64 g/cm³
Calculated formation energy = 0.29 eV per atom
DFT total energy = -6.885 eV/atom
Polymorph energy (0 for the lowest one) = 0.012 eV/atom

Lattice parameters (Å, degrees): 6.901 6.901 2.715 90.00 90.00 90.00
Space group P4/mbm (No. 127)
Symmetry-distinct sites (fractional):
Cr 0.000 0.000 0.000 x2
Ni 0.124 0.376 0.000 x4
Rh 0.174 0.674 0.500 x4



The following is a PBE calculation of crystalline Cr2Ni4Rh at its relaxed geometry, from Alexandria via LeMat-Bulk.

Summary:
Density = 8.84 g/cm³
Calculated formation energy = 0.22 eV per atom
DFT total energy = -6.884 eV/atom
Polymorph energy (0 for the lowest one) = 0.069 eV/atom

Lattice parameters (Å, degrees): 8.470 4.567 8.580 90.00 90.00 90.00
Space group Cmce (No. 64)
Symmetry-distinct sites (fractional):
Cr 0.191 0.000 0.000 x8
Ni 0.000 0.002 0.195 x8
Ni 0.250 0.248 0.750 x8
Rh 0.000 0.000 0.500 x4



The following is a PBE calculation of crystalline CrNiRh2 at its relaxed geometry, from Alexandria via LeMat-Bulk.

Summary:
Density = 10.06 g/cm³
Calculated formation energy = 0.01 eV per atom
DFT total energy = -7.514 eV/atom

Lattice parameters (Å, degrees): 8.773 2.710 4.483 90.00 101.42 90.00
Space group Cm (No. 8)
Symmetry-distinct sites (fractional):
Cr 0.000 0.000 0.000 x2
Ni 0.244 0.500 0.252 x2
Rh 0.251 0.000 0.765 x2
Rh 0.494 0.000 0.482 x2



The following is a PBE calculation of crystalline Cr2NiRh5 at its relaxed geometry, from Alexandria via LeMat-Bulk.

Summary:
Density = 10.44 g/cm³
Calculated formation energy = -0.09 eV per atom
DFT total energy = -7.814 eV/atom

Lattice parameters (Å, degrees): 5.372 5.372 7.462 90.00 90.00 90.00
Space group I4/mmm (No. 139)
Symmetry-distinct sites (fractional):
Cr 0.000 0.500 0.000 x4
Ni 0.000 0.000 0.000 x2
Rh 0.000 0.000 0.500 x2
Rh 0.250 0.250 0.250 x8



The following is a PBE calculation of crystalline CrNi3Rh2 at its relaxed geometry, from Alexandria via LeMat-Bulk.

Summary:
Density = 9.71 g/cm³
Calculated formation energy = 0.07 eV per atom
DFT total energy = -6.877 eV/atom
Polymorph energy (0 for the lowest one) = 0.060 eV/atom

Lattice parameters (Å, degrees): 5.168 8.158 14.085 90.00 90.00 90.00
Space group Fmmm (No. 69)
Symmetry-distinct sites (fractional):
Cr 0.000 0.000 0.167 x8
Ni 0.000 0.000 0.333 x8
Ni 0.000 0.250 0.084 x16
Rh 0.249 0.000 0.000 x8
Rh 0.250 0.250 0.250 x8



The following is a PBE calculation of crystalline CrNiRh3 at its relaxed geometry, from Alexandria via LeMat-Bulk.

Summary:
Density = 8.22 g/cm³
Calculated formation energy = 1.47 eV per atom
DFT total energy = -6.019 eV/atom
Polymorph energy (0 for the lowest one) = 1.511 eV/atom

Lattice parameters (Å, degrees): 4.392 4.392 4.392 90.00 90.00 90.00
Space group Pm-3m (No. 221)
Symmetry-distinct sites (fractional):
Cr 0.000 0.000 0.000 x1
Ni 0.500 0.500 0.500 x1
Rh 0.000 0.500 0.500 x3



The following is a PBE calculation of crystalline Cr2Ni3Rh2 at its relaxed geometry, from Alexandria via LeMat-Bulk.

Summary:
Density = 9.45 g/cm³
Calculated formation energy = 0.08 eV per atom
DFT total energy = -7.251 eV/atom

Lattice parameters (Å, degrees): 12.071 2.568 6.270 90.00 118.55 90.00
Space group C2/m (No. 12)
Symmetry-distinct sites (fractional):
Cr 0.135 0.000 0.329 x4
Ni 0.000 0.500 0.500 x2
Ni 0.070 0.500 0.925 x4
Rh 0.203 0.000 0.765 x4



The following is a PBE calculation of crystalline Cr3NiRh at its relaxed geometry, from Alexandria via LeMat-Bulk.

Summary:
Density = 6.34 g/cm³
Calculated formation energy = 1.22 eV per atom
DFT total energy = -7.178 eV/atom
Polymorph energy (0 for the lowest one) = 0.000 eV/atom

Lattice parameters (Å, degrees): 4.365 4.365 4.365 90.00 90.00 90.00
Space group Pm-3m (No. 221)
Symmetry-distinct sites (fractional):
Cr 0.000 0.000 0.500 x3
Ni 0.000 0.000 0.000 x1
Rh 0.500 0.500 0.500 x1



The following is a PBE calculation of crystalline Cr3NiRh6 at its relaxed geometry, from Alexandria via LeMat-Bulk.

Summary:
Density = 10.44 g/cm³
Calculated formation energy = -0.10 eV per atom
DFT total energy = -7.977 eV/atom

Lattice parameters (Å, degrees): 7.106 4.250 9.308 90.00 109.60 90.00
Space group P2_1/m (No. 11)
Symmetry-distinct sites (fractional):
Cr 0.107 0.250 0.234 x2
Cr 0.292 0.250 0.032 x2
Cr 0.307 0.750 0.368 x2
Ni 0.097 0.750 0.564 x2
Rh 0.086 0.250 0.725 x2
Rh 0.103 0.750 0.070 x2
Rh 0.290 0.250 0.528 x2
Rh 0.292 0.750 0.865 x2
Rh 0.498 0.250 0.331 x2
Rh 0.498 0.750 0.162 x2



The following is a PBE calculation of crystalline CrNiRh3 at its relaxed geometry, from Alexandria via LeMat-Bulk.

Summary:
Density = 8.12 g/cm³
Calculated formation energy = 1.09 eV per atom
DFT total energy = -6.400 eV/atom
Polymorph energy (0 for the lowest one) = 1.130 eV/atom

Lattice parameters (Å, degrees): 4.410 4.410 4.410 90.00 90.00 90.00
Space group Pm-3m (No. 221)
Symmetry-distinct sites (fractional):
Cr 0.000 0.000 0.000 x1
Ni 0.500 0.500 0.500 x1
Rh 0.000 0.000 0.500 x3



The following is a PBE calculation of crystalline Cr2Ni2Rh at its relaxed geometry, from Alexandria via LeMat-Bulk.

Summary:
Density = 8.83 g/cm³
Calculated formation energy = 0.24 eV per atom
DFT total energy = -7.396 eV/atom
Polymorph energy (0 for the lowest one) = 0.188 eV/atom

Lattice parameters (Å, degrees): 6.808 6.808 2.631 90.00 90.00 90.00
Space group P4/mbm (No. 127)
Symmetry-distinct sites (fractional):
Cr 0.112 0.388 0.000 x4
Ni 0.181 0.681 0.500 x4
Rh 0.000 0.000 0.000 x2



The following is a PBE calculation of crystalline CrNiRh2 at its relaxed geometry, from Alexandria via LeMat-Bulk.

Summary:
Density = 10.04 g/cm³
Calculated formation energy = 0.10 eV per atom
DFT total energy = -7.428 eV/atom

Lattice parameters (Å, degrees): 3.004 3.004 5.801 90.00 90.00 90.00
Space group P4mm (No. 99)
Symmetry-distinct sites (fractional):
Cr 0.000 0.000 0.000 x1
Ni 0.500 0.500 0.195 x1
Rh 0.000 0.000 0.438 x1
Rh 0.500 0.500 0.749 x1



The following is a PBE calculation of crystalline CrNiRh3 at its relaxed geometry, from Alexandria via LeMat-Bulk.

Summary:
Density = 10.27 g/cm³
Calculated formation energy = 0.12 eV per atom
DFT total energy = -7.375 eV/atom
Polymorph energy (0 for the lowest one) = 0.155 eV/atom

Lattice parameters (Å, degrees): 9.890 9.275 6.540 90.00 115.30 90.00
Space group C2/c (No. 15)
Symmetry-distinct sites (fractional):
Cr 0.086 0.189 0.181 x8
Ni 0.000 0.165 0.750 x4
Ni 0.000 0.460 0.250 x4
Rh 0.144 0.046 0.544 x8
Rh 0.149 0.341 0.608 x8
Rh 0.175 0.369 0.037 x8



The following is a PBE calculation of crystalline CrNi2Rh4 at its relaxed geometry, from Alexandria via LeMat-Bulk.

Summary:
Density = 10.12 g/cm³
Calculated formation energy = 0.15 eV per atom
DFT total energy = -7.077 eV/atom

Lattice parameters (Å, degrees): 7.512 15.398 6.591 90.00 90.00 90.00
Space group Fdd2 (No. 43)
Symmetry-distinct sites (fractional):
Cr 0.000 0.000 0.000 x8
Ni 0.055 0.261 0.916 x16
Rh 0.026 0.369 0.218 x16
Rh 0.065 0.087 0.333 x16